[1]
Tl2Pd9Pb | the Alexandria database | PBEsol | relaxed; crystal system = tetragonal; E_tot = -65.83 eV/cell
1.0
-2.7584 -1.6182 2.5323
2.4902 -3.1550 0.6964
4.9378 8.1453 7.2980
Pd Tl Pb
9 2 1
Direct
0.9157 0.4157 0.8314
0.4999 0.4999 0.9997
0.0839 0.5839 0.1678
0.3321 0.3321 0.6643
0.2504 0.7504 0.5009
0.4157 0.9157 0.8314
0.6689 0.6689 0.3379
0.5839 0.0839 0.1678
0.7504 0.2504 0.5009
0.9990 0.9990 0.9980
0.8339 0.8339 0.6677
0.1661 0.1661 0.3322

[2]
ScTiZn2S | the Alexandria database | PBEsol | relaxed; formation energy without anion corrections = 0.115 eV per atom; crystal system = tetragonal
1.0
-1.9017 4.0254 -0.3882
-4.0914 -1.8395 0.9679
0.7121 0.7673 4.4682
Zn Ti Sc S
2 1 1 1
Direct
0.0000 0.0000 0.5000
0.0000 0.5000 0.0000
0.5000 0.0000 0.0000
0.5000 0.5000 0.5000
0.0000 0.0000 0.0000

[3]
BaRe2Ag | the Alexandria database | PBEsol | relaxed; crystal system = tetragonal; E_tot = -27.02 eV/cell
1.0
-2.1118 1.4638 1.0588
1.0005 -0.4160 2.5592
5.3612 8.2773 -0.7504
Re Ag Ba
2 1 1
Direct
0.0000 0.0000 0.7113
0.0000 0.0000 0.2887
0.5000 0.5000 0.5000
0.5000 0.5000 0.0000

[4]
Cs2RbHg | the Alexandria database | PBEsol | relaxed; distance to the lowest polymorph of the same formula = 0 kJ/mol of formula units; crystal system = tetragonal
1.0
-1.5848 5.7630 4.9259
3.8902 -0.9611 8.4652
6.1175 7.0878 -0.2350
Hg Rb Cs
2 2 4
Direct
0.7500 0.5000 0.5000
0.0000 0.0000 0.0000
0.2500 0.5000 0.5000
0.5000 0.0000 0.0000
0.0303 0.0947 0.5947
0.3750 0.5947 0.9053
0.8750 0.4053 0.0947
0.7197 0.9053 0.4053

[5]
SrTcH3 | the Alexandria database | PBEsol | relaxed; crystal system = cubic; E_tot = -24.17 eV/cell
1.0
-2.6567 0.3522 2.5764
0.2209 -3.6393 0.7253
2.5909 0.6715 2.5799
Tc H Sr
1 3 1
Direct
0.0000 0.0000 0.0000
0.0000 0.5000 0.0000
0.0000 0.0000 0.5000
0.5000 0.0000 0.0000
0.5000 0.5000 0.5000

[6]
IrPdI2 | the Alexandria database | PBEsol | relaxed; formation energy without anion corrections = 0.527 eV per atom; crystal system = tetragonal
1.0
-4.1230 -3.5054 2.8947
4.2528 -4.3549 0.7838
1.4230 6.2759 3.1207
I Pd Ir
4 2 2
Direct
0.3631 0.8750 0.2500
0.6250 0.6369 0.7500
0.1250 0.1131 0.7500
0.8869 0.3750 0.2500
0.7500 0.2500 0.5000
0.5000 0.5000 0.0000
0.0000 0.0000 0.0000
0.2500 0.7500 0.5000

[7]
MgGeN2O | the Alexandria database | PBEsol | relaxed; formation energy without anion corrections = 0.036 eV per atom; crystal system = tetragonal
1.0
-3.6905 -0.2580 0.5430
-0.5145 -0.3918 -3.6828
0.3181 -3.7940 0.3592
O N Ge Mg
1 2 1 1
Direct
0.0000 0.0000 0.5000
0.5000 0.0000 0.0000
0.0000 0.5000 0.0000
0.0000 0.0000 0.0000
0.5000 0.5000 0.5000

[8]
CdMoRhI2 | the Alexandria database | PBEsol | relaxed; formation energy without anion corrections = 1.950 eV per atom; crystal system = tetragonal
1.0
-3.6896 -0.8141 3.6939
3.2753 -3.6994 2.4562
2.2078 4.0048 3.0878
I Rh Mo Cd
2 1 1 1
Direct
0.0000 0.0000 0.5000
0.0000 0.5000 0.0000
0.5000 0.5000 0.5000
0.5000 0.0000 0.0000
0.0000 0.0000 0.0000

no.,density (g/cm³)
1,13.483
2,4.511
3,13.426
4,3.254
5,6.098
6,8.568
7,4.378
8,5.832